No. 1
# In2BiSBr

A geometry-optimized In2BiSBr structure (PBE, the Alexandria database).

Output
The total DFT energy (no corrections) is -14.4 eV/cell. The value obtained for the formation energy without anion corrections is 0.16 eV per atom. As for the total magnetic moment: 0.00 μB/cell. The crystal system is tetragonal.

Unit cell a=5.462 b=5.462 c=5.022 alpha=90.00 beta=90.00 gamma=90.00
Space group P4/mmm (No. 123)
Symmetry-distinct sites (fractional):
In (0.000, 0.500, 0.000) (multiplicity 2)
Bi (0.000, 0.000, 0.500) (multiplicity 1)
S (0.500, 0.500, 0.000) (multiplicity 1)
Br (0.500, 0.500, 0.500) (multiplicity 1)

No. 2
# InBi2Se4Br

A geometry-optimized InBi2Se4Br structure (PBE, the Alexandria database).

Output
The total DFT energy (no corrections) is -119.9 eV/cell. The value obtained for the formation energy without anion corrections is -0.48 eV per atom. As for the total magnetic moment: 0.00 μB/cell. The crystal system is monoclinic.

Unit cell a=21.348 b=4.171 c=12.325 alpha=90.00 beta=119.66 gamma=90.00
Space group C2/m (No. 12)
Symmetry-distinct sites (fractional):
In (0.163, 0.000, 0.435) (multiplicity 4)
Bi (0.049, 0.500, 0.769) (multiplicity 4)
Bi (0.204, 0.000, 0.098) (multiplicity 4)
Se (0.038, 0.000, 0.218) (multiplicity 4)
Se (0.098, 0.500, 0.023) (multiplicity 4)
Se (0.177, 0.000, 0.855) (multiplicity 4)
Se (0.215, 0.500, 0.347) (multiplicity 4)
Br (0.102, 0.500, 0.528) (multiplicity 4)